[1]
# Zr3CrSi, relaxed, DFT PBEsol
# Total energy: -8.115 eV per atom
data_Zr3CrSi
_cell_length_a 4.897
_cell_length_b 4.897
_cell_length_c 4.897
_cell_angle_alpha 90.00
_cell_angle_beta 90.00
_cell_angle_gamma 90.00
_symmetry_space_group_name_H-M 'P m -3 m'
_symmetry_Int_Tables_number 221
_symmetry_space_group_name_Hall '-P 4 2 3'
loop_
_atom_site_label
_atom_site_type_symbol
_atom_site_fract_x
_atom_site_fract_y
_atom_site_fract_z
_atom_site_occupancy
Zr1 Zr 0.000 0.000 0.500 1
Cr1 Cr 0.500 0.500 0.500 1
Si1 Si 0.000 0.000 0.000 1

[2]
# Sr3CrSn, relaxed, DFT PBEsol
# DFT formation energy: 43.3 kJ per mole of atoms
data_Sr3CrSn
_cell_length_a 6.237
_cell_length_b 6.237
_cell_length_c 6.237
_cell_angle_alpha 90.00
_cell_angle_beta 90.00
_cell_angle_gamma 90.00
_symmetry_space_group_name_H-M 'P m -3 m'
_symmetry_Int_Tables_number 221
_symmetry_space_group_name_Hall '-P 4 2 3'
loop_
_atom_site_label
_atom_site_type_symbol
_atom_site_fract_x
_atom_site_fract_y
_atom_site_fract_z
_atom_site_occupancy
Sr1 Sr 0.000 0.000 0.500 1
Cr1 Cr 0.500 0.500 0.500 1
Sn1 Sn 0.000 0.000 0.000 1

[3]
# SrCr3Sn, relaxed, DFT PBEsol
# DFT formation energy: 223.2 kJ per mole of atoms
data_SrCr3Sn
_cell_length_a 4.962
_cell_length_b 4.962
_cell_length_c 4.962
_cell_angle_alpha 90.00
_cell_angle_beta 90.00
_cell_angle_gamma 90.00
_symmetry_space_group_name_H-M 'P m -3 m'
_symmetry_Int_Tables_number 221
_symmetry_space_group_name_Hall '-P 4 2 3'
loop_
_atom_site_label
_atom_site_type_symbol
_atom_site_fract_x
_atom_site_fract_y
_atom_site_fract_z
_atom_site_occupancy
Sr1 Sr 0.000 0.000 0.000 1
Cr1 Cr 0.000 0.000 0.500 1
Sn1 Sn 0.500 0.500 0.500 1

Per-record calculated volume, Å³ per cell: 117, 243, 122